1.
A relaxed ZrCrSb2P crystal. Source: Alexandria, functional GGA-PBE.

```
5
Lattice="-0.119 -4.780 -2.055 1.812 1.465 -3.513 4.698 -0.983 2.014" Properties=species:S:1:pos:R:3 pbc="T T T"
Sb 2.349 -0.491 1.007
Sb -0.060 -2.390 -1.028
P 0.906 0.732 -1.756
Zr 3.195 -2.149 -1.777
Cr 0.000 0.000 0.000
```

Results
For the formation energy (no corrections), the calculation gives 350 meV per atom. Its total moment is 0.302 μB per atom.

=====

2.
A relaxed ScCr2P crystal. Source: Alexandria, functional GGA-PBE.

```
4
Lattice="-2.216 2.239 2.950 -0.143 -2.601 1.867 3.630 0.897 2.046" Properties=species:S:1:pos:R:3 pbc="T T T"
Sc -1.179 -0.181 2.408
Cr 2.580 0.264 1.738
Cr 0.907 -1.967 2.174
P 0.707 1.568 2.498
```

Results
The value obtained for the calculated formation energy is -0.052 eV/atom. Its total moment is 0.000 μB per atom.

=====

3.
A relaxed ScCr2P crystal. Source: Alexandria, functional GGA-PBE.

```
4
Lattice="-3.442 6.770 1.163 -5.798 5.024 0.422 -4.774 5.055 3.268" Properties=species:S:1:pos:R:3 pbc="T T T"
Sc -3.492 4.199 1.209
Cr -0.157 0.189 0.054
Cr -10.539 12.670 3.649
P -6.833 8.215 2.366
```

Results
The value obtained for the calculated formation energy is 0.062 eV/atom. Its total moment is 0.000 μB per atom.

=====

4.
A relaxed ScCr2P crystal. Source: Alexandria, functional GGA-PBE.

```
4
Lattice="4.688 -1.952 0.002 4.688 1.952 0.002 3.874 0.000 3.283" Properties=species:S:1:pos:R:3 pbc="T T T"
Sc 9.937 0.000 2.465
Cr 12.668 0.000 3.143
Cr 3.280 0.000 0.814
P 7.225 0.000 1.793
```

Results
The value obtained for the calculated formation energy is -0.381 eV/atom. Its total moment is 0.000 μB per atom.

=====

5.
A relaxed ScCrP crystal. Source: Alexandria, functional GGA-PBE.

```
3
Lattice="-0.543 1.246 3.155 -2.369 0.432 -2.449 -2.211 -4.409 1.361" Properties=species:S:1:pos:R:3 pbc="T T T"
Sc -3.144 -2.054 0.270
Cr -0.175 -0.348 0.108
P -1.805 -0.328 1.689
```

Results
The value obtained for the calculated formation energy is -0.388 eV/atom. Its total moment is 0.593 μB per atom.

=====

6.
A relaxed ScCrP crystal. Source: Alexandria, functional GGA-PBE.

```
3
Lattice="-2.012 4.094 2.331 -0.403 4.822 -1.682 -0.749 -4.925 -1.194" Properties=species:S:1:pos:R:3 pbc="T T T"
Sc -0.802 2.959 0.215
Cr -0.084 0.309 0.023
P -1.530 5.647 0.411
```

Results
The value obtained for the calculated formation energy is -0.508 eV/atom. Its total moment is 0.039 μB per atom.

=====

7.
A relaxed ScCr2P crystal. Source: Alexandria, functional GGA-PBE.

```
8
Lattice="-0.917 -3.271 -1.604 2.927 -1.646 1.684 -4.030 -4.406 6.889" Properties=species:S:1:pos:R:3 pbc="T T T"
Sc 0.000 0.000 0.000
Sc -1.971 -5.068 2.662
Cr -0.844 -2.028 1.579
Cr 0.336 -3.863 1.925
Cr -1.084 -5.814 5.878
Cr -2.448 -6.941 4.555
P 1.005 -2.459 0.040
P -0.049 -4.255 4.306
```

Results
The value obtained for the calculated formation energy is 0.026 eV/atom. Its total moment is 0.085 μB per atom.

=====

8.
A relaxed ScCr2P crystal. Source: Alexandria, functional GGA-PBE.

```
4
Lattice="1.727 -0.293 -4.156 1.847 -3.020 -2.795 -3.600 -1.342 -2.373" Properties=species:S:1:pos:R:3 pbc="T T T"
Sc 1.787 -1.656 -3.475
Cr -1.462 -1.783 -3.442
Cr 1.436 -2.873 -5.881
P -1.800 -0.671 -1.187
```

Results
The value obtained for the calculated formation energy is -0.201 eV/atom. Its total moment is 0.000 μB per atom.

=====

9.
A relaxed ScCr2P crystal. Source: Alexandria, functional GGA-PBE.

```
4
Lattice="2.988 0.000 0.000 0.000 2.988 0.000 0.000 0.000 6.300" Properties=species:S:1:pos:R:3 pbc="T T T"
Sc 1.494 1.494 4.693
Cr 0.000 0.000 0.334
Cr 1.494 1.494 1.632
P 0.000 0.000 2.791
```

Results
The value obtained for the calculated formation energy is -0.228 eV/atom. Its total moment is 0.001 μB per atom.

=====

10.
A relaxed ScCr2P crystal. Source: Alexandria, functional GGA-PBE.

```
4
Lattice="-1.639 1.987 4.194 1.639 -1.987 4.194 1.639 1.987 -4.194" Properties=species:S:1:pos:R:3 pbc="T T T"
Sc 0.000 1.987 0.000
Cr 0.000 0.000 6.324
Cr 0.000 0.000 2.063
P 1.639 0.000 0.000
```

Results
The value obtained for the calculated formation energy is -0.030 eV/atom. Its total moment is 0.000 μB per atom.

=====

11.
A relaxed ScCr2P crystal. Source: Alexandria, functional GGA-PBE.

```
4
Lattice="6.999 -1.616 -0.015 6.999 1.616 -0.015 6.632 0.000 2.759" Properties=species:S:1:pos:R:3 pbc="T T T"
Sc 0.000 0.000 0.000
Cr 15.992 0.000 2.114
Cr 4.639 0.000 0.613
P 10.315 0.000 1.364
```

Results
The value obtained for the calculated formation energy is 0.059 eV/atom. Its total moment is 0.220 μB per atom.

=====

12.
A relaxed ScCrP crystal. Source: Alexandria, functional GGA-PBE.

```
3
Lattice="-2.037 -3.516 1.093 -3.763 0.243 1.868 -3.465 -1.160 -2.088" Properties=species:S:1:pos:R:3 pbc="T T T"
Sc 0.000 0.000 0.000
Cr -4.632 -2.217 0.437
P -2.316 -1.108 0.218
```

Results
The value obtained for the calculated formation energy is -0.488 eV/atom. Its total moment is 1.163 μB per atom.